The following is a DFT calculation (GGA-PBE) of NaH6Pd7 after structural relaxation.

Lattice parameters (Å, degrees): 7.6530 7.6530 7.6530 38.02 38.02 38.02
Last column: nearest neighbours and their distance in Å.
Fractional coordinates of all 14 atoms:
Na1 0.0000 0.0000 0.0000  6 H 2.32
H1 0.0878 0.4122 0.7171  3 Pd 1.80-1.93
H2 0.2702 0.9417 0.5721  3 Pd 1.79-1.93
H3 0.4122 0.7171 0.0878  3 Pd 1.80-1.93
H4 0.5721 0.2702 0.9417  3 Pd 1.79-1.93
H5 0.7171 0.0878 0.4122  3 Pd 1.80-1.93
H6 0.9417 0.5721 0.2702  3 Pd 1.79-1.93
Pd1 0.1082 0.7798 0.4464  3 H 1.80-1.93
Pd2 0.2226 0.5576 0.8865  3 H 1.79-1.93
Pd3 0.3335 0.3335 0.3335  6 H 2.20
Pd4 0.4464 0.1082 0.7797  3 H 1.80-1.93
Pd5 0.5576 0.8865 0.2226  3 H 1.79-1.93
Pd6 0.7798 0.4464 0.1082  3 H 1.80-1.93
Pd7 0.8865 0.2226 0.5576  3 H 1.79-1.93

Computed properties:
Total DFT energy (no corrections) ... -59.222 eV per formula unit
SG ... R3 (146)
D(E_F) ... 4.946 states/eV/f.u.